Material: Tl2HgAu
Method: DFT, PBE
State: optimized geometry

Summary:
* calculated total energy: -2.0660 eV/atom
* ΔE_f: 1.15 kJ per mole of atoms
* magnetic moment: 0.000 μB per cell

a = 5.0937 Å, b = 5.0937 Å, c = 4.1016 Å
α = 90.00°, β = 90.00°, γ = 90.00°
Last column: nearest neighbours and their distance in Å.
Space group P4/mmm (No. 123)
One atom of each set of equivalent atoms:
Tl 0.0000 0.5000 0.0000  4 Au 3.27, 4 Hg 3.27, 4 Tl 3.60
Hg 0.0000 0.0000 0.5000  8 Tl 3.27, 4 Au 3.60
Au 0.5000 0.5000 0.5000  8 Tl 3.27, 4 Hg 3.60